(1)
{"formula": "SbSN2O", "functional": "PBE-GGA", "state": "optimized geometry", "sg": "P4/mmm (123)", "formation_energy_uncorrected_ev_per_fu": 6.357, "cell": [[-2.404, 2.050, 2.656], [-3.084, -0.065, -2.742], [-1.220, -3.310, 1.451]], "species": ["Sb", "N", "O", "N", "S"], "fractional_positions": [[0.000, 0.000, 0.000], [0.000, 0.500, 0.000], [0.000, 0.000, 0.500], [0.500, 0.000, 0.000], [0.500, 0.500, 0.500]]}

---

(2)
{"formula": "SbSN2O", "functional": "PBE-GGA", "state": "optimized geometry", "sg": "P4/mmm (123)", "formation_energy_uncorrected_ev_per_fu": 4.971, "cell": [[-3.375, -1.230, -1.375], [-0.803, -1.603, 3.403], [-1.549, 3.051, 1.072]], "species": ["N", "N", "S", "O", "Sb"], "fractional_positions": [[0.500, 0.000, 0.000], [0.000, 0.500, 0.000], [0.000, 0.000, 0.000], [0.000, 0.000, 0.500], [0.500, 0.500, 0.500]]}

---

(3)
{"formula": "ScS2NO8", "functional": "PBE-GGA", "state": "optimized geometry", "sg": "P-3m1 (164)", "formation_energy_uncorrected_ev_per_fu": -13.608, "cell": [[2.690, -4.660, 0.000], [2.690, 4.660, 0.000], [0.000, 0.000, 8.134]], "species": ["O", "S", "Sc", "S", "O", "O", "O", "N", "O", "O", "O", "O"], "fractional_positions": [[0.368, 0.184, 0.854], [0.667, 0.333, 0.788], [0.000, 0.000, 0.000], [0.333, 0.667, 0.212], [0.184, 0.816, 0.146], [0.816, 0.632, 0.854], [0.816, 0.184, 0.854], [0.000, 0.000, 0.500], [0.667, 0.333, 0.610], [0.632, 0.816, 0.146], [0.333, 0.667, 0.390], [0.184, 0.368, 0.146]]}

---

(4)
{"formula": "ScSN2O", "functional": "PBE-GGA", "state": "optimized geometry", "sg": "P4/mmm (123)", "formation_energy_uncorrected_ev_per_fu": 6.882, "cell": [[4.284, 0.000, 0.000], [0.000, 4.284, 0.000], [0.000, 0.000, 5.066]], "species": ["S", "Sc", "N", "N", "O"], "fractional_positions": [[0.000, 0.000, 0.500], [0.000, 0.000, 0.000], [0.000, 0.500, 0.000], [0.500, 0.000, 0.000], [0.500, 0.500, 0.500]]}

---

(5)
{"formula": "ScS2NO", "functional": "PBE-GGA", "state": "optimized geometry", "sg": "P4/mmm (123)", "polymorph_energy_mev_per_atom": 0, "formation_energy_uncorrected_ev_per_fu": 2.010, "cell": [[4.080, 0.000, 0.000], [0.000, 4.080, 0.000], [0.000, 0.000, 3.947]], "species": ["O", "Sc", "N", "S", "S"], "fractional_positions": [[0.000, 0.000, 0.000], [0.500, 0.500, 0.500], [0.000, 0.000, 0.500], [0.000, 0.500, 0.000], [0.500, 0.000, 0.000]]}

---

(6)
{"formula": "ScSN2O", "functional": "PBE-GGA", "state": "optimized geometry", "sg": "P4/mmm (123)", "formation_energy_uncorrected_ev_per_fu": 4.208, "cell": [[-0.035, -4.296, -0.993], [2.412, -0.850, 3.592], [-3.277, -0.457, 2.092]], "species": ["O", "S", "Sc", "N", "N"], "fractional_positions": [[0.000, 0.000, 0.500], [0.500, 0.500, 0.500], [0.000, 0.000, 0.000], [0.000, 0.500, 0.000], [0.500, 0.000, 0.000]]}